DyEr2In: optimized geometry, PBE.

POSCAR file:
```
DyEr2In
1.0
3.560 0.000 0.000
0.000 3.560 0.000
0.000 0.000 9.111
Dy Er In
1 2 1
Direct
0.000 0.000 0.000
0.500 0.500 0.272
0.500 0.500 0.728
0.000 0.000 0.500
```

The total energy comes out at -0.3197 Ry per atom. The value obtained for the distance to the lowest polymorph of the same formula is 0.0307 eV/atom. The density of states at the Fermi level is 4.1 states/eV/cell. Its space group is P4/mmm (123). The value obtained for the magnetic moment is 0.000 μB/cell.